Density functional theory data (PBE) for a relaxed RbP crystal.

a b c (Å): 12.2744 12.2744 4.0745
angles (deg): 90.00 90.00 120.00
Positions (direct):
Rb 0.2159 0.4323 0.7500
Rb 0.7841 0.5677 0.2500
P 0.0481 0.5262 0.2500
Rb 0.5677 0.7837 0.7500
P 0.5218 0.0481 0.7500
P 0.9519 0.4738 0.7500
Rb 0.4323 0.2163 0.2500
Rb 0.2163 0.7841 0.7500
P 0.4738 0.5218 0.2500
Rb 0.7837 0.2159 0.2500
P 0.5262 0.4782 0.7500
P 0.4782 0.9519 0.2500

Calculated values
electronic total energy: -41.17 eV per cell
D(E_F): 7.2 states/eV/cell
total magnetic moment: 0.39 μB per cell
offset from the most stable computed form: 131 meV per atom


Density functional theory data (PBE) for a relaxed RbP crystal.

a b c (Å): 9.6548 9.6548 9.6547
angles (deg): 90.00 90.00 90.00
Each line ends with the local moment (μB).
Positions (direct):
Rb 0.2500 0.5000 0.0000  0.03
P 0.2500 0.0000 0.5000  0.76
P 0.5000 0.7500 0.0000  0.76
Rb 0.0000 0.2500 0.5000  0.03
Rb 0.0000 0.7500 0.5000  0.03
P 0.0000 0.5000 0.7500  0.76
Rb 0.5000 0.0000 0.7500  0.03
P 0.7500 0.0000 0.5000  0.76
Rb 0.5000 0.0000 0.2500  0.03
P 0.5000 0.2500 0.0000  0.76
Rb 0.7500 0.5000 0.0000  0.03
P 0.0000 0.5000 0.2500  0.76

Calculated values
electronic total energy: -28.87 eV per cell
D(E_F): 13.3 states/eV/cell
total magnetic moment: 12.00 μB per cell
offset from the most stable computed form: 1156 meV per atom


Copy entry 2 word for word.
Density functional theory data (PBE) for a relaxed RbP crystal.

a b c (Å): 9.6548 9.6548 9.6547
angles (deg): 90.00 90.00 90.00
Each line ends with the local moment (μB).
Positions (direct):
Rb 0.2500 0.5000 0.0000  0.03
P 0.2500 0.0000 0.5000  0.76
P 0.5000 0.7500 0.0000  0.76
Rb 0.0000 0.2500 0.5000  0.03
Rb 0.0000 0.7500 0.5000  0.03
P 0.0000 0.5000 0.7500  0.76
Rb 0.5000 0.0000 0.7500  0.03
P 0.7500 0.0000 0.5000  0.76
Rb 0.5000 0.0000 0.2500  0.03
P 0.5000 0.2500 0.0000  0.76
Rb 0.7500 0.5000 0.0000  0.03
P 0.0000 0.5000 0.2500  0.76

Calculated values
electronic total energy: -28.87 eV per cell
D(E_F): 13.3 states/eV/cell
total magnetic moment: 12.00 μB per cell
offset from the most stable computed form: 1156 meV per atom


Repeat the first record exactly.
Density functional theory data (PBE) for a relaxed RbP crystal.

a b c (Å): 12.2744 12.2744 4.0745
angles (deg): 90.00 90.00 120.00
Positions (direct):
Rb 0.2159 0.4323 0.7500
Rb 0.7841 0.5677 0.2500
P 0.0481 0.5262 0.2500
Rb 0.5677 0.7837 0.7500
P 0.5218 0.0481 0.7500
P 0.9519 0.4738 0.7500
Rb 0.4323 0.2163 0.2500
Rb 0.2163 0.7841 0.7500
P 0.4738 0.5218 0.2500
Rb 0.7837 0.2159 0.2500
P 0.5262 0.4782 0.7500
P 0.4782 0.9519 0.2500

Calculated values
electronic total energy: -41.17 eV per cell
D(E_F): 7.2 states/eV/cell
total magnetic moment: 0.39 μB per cell
offset from the most stable computed form: 131 meV per atom


Question: Which of these has the lowest D(E_F)?
Answer: number 1


Repeat the first record exactly.
Density functional theory data (PBE) for a relaxed RbP crystal.

a b c (Å): 12.2744 12.2744 4.0745
angles (deg): 90.00 90.00 120.00
Positions (direct):
Rb 0.2159 0.4323 0.7500
Rb 0.7841 0.5677 0.2500
P 0.0481 0.5262 0.2500
Rb 0.5677 0.7837 0.7500
P 0.5218 0.0481 0.7500
P 0.9519 0.4738 0.7500
Rb 0.4323 0.2163 0.2500
Rb 0.2163 0.7841 0.7500
P 0.4738 0.5218 0.2500
Rb 0.7837 0.2159 0.2500
P 0.5262 0.4782 0.7500
P 0.4782 0.9519 0.2500

Calculated values
electronic total energy: -41.17 eV per cell
D(E_F): 7.2 states/eV/cell
total magnetic moment: 0.39 μB per cell
offset from the most stable computed form: 131 meV per atom